No. 1
The following is a PBE calculation of Pm7Ho3Pb after structural relaxation, from Alexandria.

Lattice parameters (Å, degrees): 8.5777 7.0910 7.0910 120.00 90.00 90.00
Sites, in units of the cell vectors:
Pm 0.1182 0.1691 0.8309
Pm 0.1182 0.1691 0.3383
Pm 0.1082 0.6667 0.3333
Pm 0.4495 0.8310 0.1690
Pm 0.4495 0.3380 0.1690
Pm 0.4495 0.8310 0.6620
Pm 0.1182 0.6617 0.8309
Ho 0.7812 0.5004 0.4996
Ho 0.7812 0.5004 0.0008
Ho 0.7812 0.9992 0.4996
Pb 0.4603 0.3333 0.6667

Summary:
space-group type	P3m1, No. 156
total energy	-4.5152	eV per atom
DOS at the Fermi energy	1.4153	states/eV per atom
spin magnetization	0.00	μB per cell

***

No. 2
The following is a PBE calculation of PmHo2Pb after structural relaxation, from Alexandria.

Lattice parameters (Å, degrees): 3.6091 3.6091 11.2123 80.74 80.74 60.00
Sites, in units of the cell vectors:
Pm 0.4999 0.4999 0.5003
Ho 0.0790 0.0790 0.7630
Ho 0.2546 0.2546 0.2363
Pb 0.6666 0.6666 0.0003

Summary:
space-group type	R3m, No. 160
total energy	-4.5516	eV per atom
DOS at the Fermi energy	0.9287	states/eV per atom
spin magnetization	0.00	μB per cell

***

No. 3
The following is a PBE calculation of Pm3Ho2Pb2 after structural relaxation, from Alexandria.

Lattice parameters (Å, degrees): 4.6639 6.2306 8.5164 104.90 90.00 111.98
Sites, in units of the cell vectors:
Pm 0.5000 0.0000 0.0000
Pm 0.6325 0.2649 0.4381
Pm 0.3675 0.7351 0.5619
Ho 0.8792 0.7584 0.2387
Ho 0.1208 0.2416 0.7613
Pb 0.8174 0.6348 0.8207
Pb 0.1826 0.3652 0.1793

Summary:
space-group type	C2/m, No. 12
total energy	-4.7082	eV per atom
DOS at the Fermi energy	1.0054	states/eV per atom
spin magnetization	0.00	μB per cell

***

No. 4
The following is a PBE calculation of PmHo2Pb after structural relaxation, from Alexandria.

Lattice parameters (Å, degrees): 5.4522 7.0358 7.0188 90.00 90.00 112.80
Sites, in units of the cell vectors:
Pm 0.0637 0.1274 0.7500
Pm 0.9363 0.8726 0.2500
Ho 0.3715 0.7430 0.9800
Ho 0.6285 0.2570 0.0200
Ho 0.6285 0.2570 0.4800
Ho 0.3715 0.7430 0.5200
Pb 0.8190 0.6380 0.7500
Pb 0.1810 0.3620 0.2500

Summary:
space-group type	Cmcm, No. 63
total energy	-4.5682	eV per atom
DOS at the Fermi energy	1.1296	states/eV per atom
spin magnetization	0.00	μB per cell

***

No. 5
The following is a PBE calculation of Pm3Ho2Pb3 after structural relaxation, from Alexandria.

Lattice parameters (Å, degrees): 4.4209 4.9893 11.4060 102.63 101.17 90.00
Sites, in units of the cell vectors:
Pm 0.6213 0.6213 0.2426
Pm 0.3787 0.3787 0.7574
Pm 0.5000 0.0000 0.0000
Ho 0.7451 0.2451 0.4903
Ho 0.2549 0.7549 0.5097
Pb 0.1353 0.1353 0.2707
Pb 0.0000 0.5000 0.0000
Pb 0.8647 0.8647 0.7293

Summary:
space-group type	Immm, No. 71
total energy	-4.7245	eV per atom
DOS at the Fermi energy	1.0267	states/eV per atom
spin magnetization	0.00	μB per cell

***

No. 6
The following is a PBE calculation of Pm6HoPb4 after structural relaxation, from Alexandria.

Lattice parameters (Å, degrees): 4.1261 10.0477 10.0477 120.00 90.00 90.00
Last column: magnetic moment on the atom in μB.
Sites, in units of the cell vectors:
Pm 0.0000 0.5407 0.0814  0.19
Pm 0.5000 0.6092 0.8046  0.09
Pm 0.0000 0.5407 0.4593  0.19
Pm 0.0000 0.9186 0.4593  0.19
Pm 0.5000 0.1954 0.8046  0.09
Pm 0.5000 0.1954 0.3908  0.09
Ho 0.0000 0.0000 0.0000  0.09
Pb 0.5000 0.8408 0.6816  -0.01
Pb 0.5000 0.3184 0.1592  -0.01
Pb 0.5000 0.8408 0.1592  -0.01
Pb 0.0000 0.3333 0.6667  -0.01

Summary:
space-group type	P-6m2, No. 187
total energy	-4.7066	eV per atom
DOS at the Fermi energy	1.1897	states/eV per atom
spin magnetization	2.06	μB per cell

***

No. 7
The following is a PBE calculation of Pm2Ho2Pb7 after structural relaxation, from Alexandria.

Lattice parameters (Å, degrees): 7.4068 6.9902 7.4068 90.00 98.35 90.00
Sites, in units of the cell vectors:
Pm 0.8112 0.5000 0.8112
Pm 0.1888 0.5000 0.1888
Ho 0.7295 0.0000 0.2705
Ho 0.2705 0.0000 0.7295
Pb 0.9998 0.2773 0.5003
Pb 0.5003 0.7227 0.9998
Pb 0.0002 0.7227 0.4997
Pb 0.4997 0.2773 0.0002
Pb 0.0000 0.0000 0.0000
Pb 0.5002 0.7192 0.4998
Pb 0.4998 0.2808 0.5002

Summary:
space-group type	Cmmm, No. 65
total energy	-4.0984	eV per atom
DOS at the Fermi energy	0.8265	states/eV per atom
spin magnetization	0.00	μB per cell

***

No. 8
The following is a PBE calculation of PmHo2Pb after structural relaxation, from Alexandria.

Lattice parameters (Å, degrees): 3.6317 3.6317 9.3229 90.00 90.00 90.00
Sites, in units of the cell vectors:
Pb 0.5000 0.5000 0.0000
Ho 0.0000 0.0000 0.7689
Ho 0.0000 0.0000 0.2311
Pm 0.5000 0.5000 0.5000

Summary:
space-group type	P4/mmm, No. 123
total energy	-4.6045	eV per atom
DOS at the Fermi energy	1.1751	states/eV per atom
spin magnetization	0.00	μB per cell

***

No. 9
The following is a PBE calculation of Pm4HoPb2 after structural relaxation, from Alexandria.

Lattice parameters (Å, degrees): 5.9923 5.9923 7.6924 112.92 112.92 90.00
Sites, in units of the cell vectors:
Pm 0.7500 0.2500 0.5000
Pm 0.2500 0.7500 0.5000
Pm 0.5000 0.0000 0.0000
Pm 0.0000 0.5000 0.0000
Ho 0.0000 0.0000 0.0000
Pb 0.6314 0.6314 0.2628
Pb 0.3686 0.3686 0.7372

Summary:
space-group type	I4/mmm, No. 139
total energy	-4.3739	eV per atom
DOS at the Fermi energy	0.8237	states/eV per atom
spin magnetization	0.00	μB per cell

***

No. 10
The following is a PBE calculation of PmHo2Pb after structural relaxation, from Alexandria.

Lattice parameters (Å, degrees): 4.7266 4.6725 11.5819 101.58 90.00 90.00
Sites, in units of the cell vectors:
Pm 0.2500 0.3096 0.6166
Pm 0.7500 0.6904 0.3834
Ho 0.7500 0.4430 0.8861
Ho 0.2500 0.5570 0.1139
Ho 0.2500 0.9383 0.8763
Ho 0.7500 0.0617 0.1237
Pb 0.7500 0.8369 0.6703
Pb 0.2500 0.1631 0.3297

Summary:
space-group type	P2_1/m, No. 11
total energy	-4.7077	eV per atom
DOS at the Fermi energy	1.2536	states/eV per atom
spin magnetization	0.00	μB per cell

***

No. 11
The following is a PBE calculation of Pm3HoPb5 after structural relaxation, from Alexandria.

Lattice parameters (Å, degrees): 6.6043 9.6763 9.6763 120.00 90.00 90.00
Sites, in units of the cell vectors:
Pm 0.7500 0.3818 0.0000
Pm 0.7500 0.6182 0.6182
Pm 0.7500 0.0000 0.3818
Pm 0.2500 0.6182 0.0000
Pm 0.2500 0.3818 0.3818
Pm 0.2500 0.0000 0.6182
Ho 0.0000 0.0000 0.0000
Ho 0.5000 0.0000 0.0000
Pb 0.0000 0.3333 0.6667
Pb 0.5000 0.6667 0.3333
Pb 0.0000 0.6667 0.3333
Pb 0.5000 0.3333 0.6667
Pb 0.7500 0.7165 0.0000
Pb 0.7500 0.2835 0.2835
Pb 0.7500 0.0000 0.7165
Pb 0.2500 0.2835 0.0000
Pb 0.2500 0.7165 0.7165
Pb 0.2500 0.0000 0.2835

Summary:
space-group type	P6_3/mcm, No. 193
total energy	-4.6222	eV per atom
DOS at the Fermi energy	0.9864	states/eV per atom
spin magnetization	0.00	μB per cell

***

No. 12
The following is a PBE calculation of Pm2Ho5Pb4 after structural relaxation, from Alexandria.

Lattice parameters (Å, degrees): 3.4877 7.8395 12.8214 92.42 97.82 90.00
Sites, in units of the cell vectors:
Pm 0.0950 0.7133 0.1899
Pm 0.9050 0.2867 0.8101
Ho 0.2355 0.8140 0.4710
Ho 0.7645 0.1860 0.5290
Ho 0.1407 0.1453 0.2814
Ho 0.5000 0.0000 0.0000
Ho 0.8593 0.8547 0.7186
Pb 0.6831 0.4864 0.3662
Pb 0.9654 0.6629 0.9307
Pb 0.3169 0.5136 0.6338
Pb 0.0346 0.3371 0.0693

Summary:
space-group type	C2/m, No. 12
total energy	-4.4093	eV per atom
DOS at the Fermi energy	1.2620	states/eV per atom
spin magnetization	0.00	μB per cell

***

No. 13
The following is a PBE calculation of PmHoPb6 after structural relaxation, from Alexandria.

Lattice parameters (Å, degrees): 4.8932 4.8932 9.7988 90.00 90.00 90.00
Sites, in units of the cell vectors:
Pm 0.0000 0.0000 0.0000
Ho 0.0000 0.0000 0.5000
Pb 0.5000 0.5000 0.0000
Pb 0.5000 0.5000 0.5000
Pb 0.5000 0.0000 0.2535
Pb 0.5000 0.0000 0.7465
Pb 0.0000 0.5000 0.2535
Pb 0.0000 0.5000 0.7465

Summary:
space-group type	P4/mmm, No. 123
total energy	-4.2566	eV per atom
DOS at the Fermi energy	0.5161	states/eV per atom
spin magnetization	0.00	μB per cell

***

No. 14
The following is a PBE calculation of Pm4HoPb4 after structural relaxation, from Alexandria.

Lattice parameters (Å, degrees): 6.5007 9.5958 9.5958 90.00 90.00 90.00
Sites, in units of the cell vectors:
Pm 0.3721 0.2778 0.9191
Pm 0.8721 0.5809 0.7778
Pm 0.3721 0.7222 0.0809
Pm 0.1279 0.2222 0.5809
Pm 0.6279 0.9191 0.7222
Pm 0.1279 0.7778 0.4191
Pm 0.8721 0.4191 0.2222
Pm 0.6279 0.0809 0.2778
Ho 0.0000 0.0000 0.0000
Ho 0.5000 0.5000 0.5000
Pb 0.6355 0.7786 0.4030
Pb 0.6355 0.2214 0.5970
Pb 0.1355 0.9030 0.7214
Pb 0.8645 0.2786 0.9030
Pb 0.8645 0.7214 0.0970
Pb 0.3645 0.4030 0.2214
Pb 0.3645 0.5970 0.7786
Pb 0.1355 0.0970 0.2786

Summary:
space-group type	P4_2/n, No. 86
total energy	-4.5692	eV per atom
DOS at the Fermi energy	0.7805	states/eV per atom
spin magnetization	0.00	μB per cell

***

No. 15
The following is a PBE calculation of Pm3Ho4Pb4 after structural relaxation, from Alexandria.

Lattice parameters (Å, degrees): 5.2009 3.8054 17.5359 96.23 98.53 90.00
Sites, in units of the cell vectors:
Pm 0.3527 0.8527 0.7054
Pm 0.6473 0.1473 0.2946
Pm 0.0000 0.0000 0.0000
Ho 0.2631 0.2631 0.5262
Ho 0.0943 0.5943 0.1886
Ho 0.9057 0.4057 0.8114
Ho 0.7369 0.7369 0.4738
Pb 0.8158 0.3158 0.6317
Pb 0.4518 0.4518 0.9037
Pb 0.5482 0.5482 0.0963
Pb 0.1842 0.6842 0.3683

Summary:
space-group type	Immm, No. 71
total energy	-4.5736	eV per atom
DOS at the Fermi energy	1.3086	states/eV per atom
spin magnetization	0.01	μB per cell

***

No. 16
The following is a PBE calculation of Pm7Ho12Pb after structural relaxation, from Alexandria.

Lattice parameters (Å, degrees): 8.8839 6.5922 12.4602 68.08 79.28 98.73
Sites, in units of the cell vectors:
Pm 0.9819 0.8565 0.7693
Pm 0.3712 0.0763 0.0795
Pm 0.2520 0.8249 0.3889
Pm 0.5000 0.5000 0.5000
Pm 0.7480 0.1751 0.6111
Pm 0.6288 0.9237 0.9205
Pm 0.0181 0.1435 0.2307
Ho 0.0470 0.4132 0.7142
Ho 0.7758 0.4383 0.0541
Ho 0.6272 0.1487 0.3626
Ho 0.8564 0.7662 0.5185
Ho 0.3301 0.1442 0.8030
Ho 0.6141 0.5265 0.8026
Ho 0.3859 0.4735 0.1974
Ho 0.6699 0.8558 0.1970
Ho 0.1436 0.2338 0.4815
Ho 0.3728 0.8513 0.6374
Ho 0.2242 0.5617 0.9459
Ho 0.9530 0.5868 0.2858
Pb 0.0000 0.0000 0.0000

Summary:
space-group type	P-1, No. 2
total energy	-4.5611	eV per atom
DOS at the Fermi energy	1.4029	states/eV per atom
spin magnetization	0.00	μB per cell

***

No. 17
The following is a PBE calculation of Pm2Ho3Pb2 after structural relaxation, from Alexandria.

Lattice parameters (Å, degrees): 4.4972 6.4921 8.6341 109.05 90.00 110.26
Sites, in units of the cell vectors:
Pm 0.8674 0.7348 0.2148
Pm 0.1326 0.2652 0.7852
Ho 0.5000 0.0000 0.0000
Ho 0.6237 0.2473 0.4390
Ho 0.3763 0.7527 0.5610
Pb 0.8288 0.6577 0.7998
Pb 0.1712 0.3423 0.2002

Summary:
space-group type	C2/m, No. 12
total energy	-4.6972	eV per atom
DOS at the Fermi energy	1.2236	states/eV per atom
spin magnetization	0.00	μB per cell

***

No. 18
The following is a PBE calculation of Pm8Ho6Pb after structural relaxation, from Alexandria.

Lattice parameters (Å, degrees): 6.5578 9.3308 9.3308 120.00 90.00 90.00
Sites, in units of the cell vectors:
Pm 0.8226 0.0408 0.2731
Pm 0.8226 0.7269 0.7677
Pm 0.8226 0.2323 0.9592
Pm 0.1774 0.9592 0.7269
Pm 0.1774 0.2731 0.2323
Pm 0.1774 0.7677 0.0408
Pm 0.8550 0.3333 0.6667
Pm 0.1450 0.6667 0.3333
Ho 0.6646 0.6496 0.0977
Ho 0.6646 0.9023 0.5519
Ho 0.6646 0.4481 0.3504
Ho 0.3354 0.3504 0.9023
Ho 0.3354 0.0977 0.4481
Ho 0.3354 0.5519 0.6496
Pb 0.5000 0.0000 0.0000

Summary:
space-group type	P-3, No. 147
total energy	-4.5412	eV per atom
DOS at the Fermi energy	1.4542	states/eV per atom
spin magnetization	0.00	μB per cell

***

No. 19
The following is a PBE calculation of PmHoPb2 after structural relaxation, from Alexandria.

Lattice parameters (Å, degrees): 4.7982 4.7982 7.2899 70.79 70.79 60.00
Sites, in units of the cell vectors:
Pm 0.6713 0.6713 0.9860
Ho 0.4938 0.4938 0.5186
Pb 0.0875 0.0875 0.7375
Pb 0.2473 0.2473 0.2580

Summary:
space-group type	R3m, No. 160
total energy	-4.5250	eV per atom
DOS at the Fermi energy	0.8128	states/eV per atom
spin magnetization	0.00	μB per cell

***

No. 20
The following is a PBE calculation of Pm2HoPb9 after structural relaxation, from Alexandria.

Lattice parameters (Å, degrees): 4.9060 4.9060 14.6940 90.00 90.00 90.00
Sites, in units of the cell vectors:
Pm 0.0000 0.0000 0.3326
Pm 0.0000 0.0000 0.6674
Ho 0.0000 0.0000 0.0000
Pb 0.5000 0.5000 0.0000
Pb 0.5000 0.5000 0.3318
Pb 0.5000 0.5000 0.6682
Pb 0.5000 0.0000 0.1636
Pb 0.5000 0.0000 0.5000
Pb 0.5000 0.0000 0.8364
Pb 0.0000 0.5000 0.1636
Pb 0.0000 0.5000 0.5000
Pb 0.0000 0.5000 0.8364

Summary:
space-group type	P4/mmm, No. 123
total energy	-4.2804	eV per atom
DOS at the Fermi energy	0.5037	states/eV per atom
spin magnetization	0.00	μB per cell